(1)
Crystalline NiHI at its relaxed geometry, computed with PBE-GGA.

Structure (extended XYZ):
```
6
Lattice="-2.524 3.683 3.008 2.524 -3.683 3.008 2.524 3.683 -3.008" Properties=species:S:1:pos:R:3 pbc="T T T"
Ni -1.262 1.841 1.504
Ni 1.262 1.841 1.504
H 0.000 1.841 0.515
H 2.524 1.841 2.493
I 2.524 0.000 0.000
I 0.000 0.000 3.008
```

Values from the calculation:
For the energy above the most stable polymorph in this dataset, the calculation gives 0.000 eV per atom. As for the space-group type: Imma (74).

=====

(2)
Crystalline NiHI3 at its relaxed geometry, computed with PBE-GGA.

Structure (extended XYZ):
```
10
Lattice="4.038 0.000 0.000 -0.041 7.687 0.000 -1.323 -0.260 10.131" Properties=species:S:1:pos:R:3 pbc="T T T"
Ni 0.327 0.116 3.356
Ni 2.348 7.311 6.775
H 0.971 1.583 0.078
H 1.704 5.844 10.053
I 0.239 2.189 1.497
I 0.319 6.011 5.420
I 0.363 1.004 8.012
I 2.311 6.423 2.119
I 2.356 1.416 4.711
I 2.435 5.237 8.634
```

Values from the calculation:
For the energy above the most stable polymorph in this dataset, the calculation gives 0.000 eV per atom. As for the space-group type: P-1 (2).

=====

(3)
Crystalline NiH3I at its relaxed geometry, computed with PBE-GGA.

Structure (extended XYZ):
```
5
Lattice="3.693 0.000 0.000 0.000 3.693 0.000 0.000 0.000 3.693" Properties=species:S:1:pos:R:3 pbc="T T T"
Ni 0.000 0.000 0.000
H 0.000 0.000 1.846
H 0.000 1.846 0.000
H 1.846 0.000 0.000
I 1.846 1.846 1.846
```

Values from the calculation:
For the energy above the most stable polymorph in this dataset, the calculation gives 0.000 eV per atom. As for the space-group type: Pm-3m (221).

=====

(4)
Crystalline NiH6I2 at its relaxed geometry, computed with PBE-GGA.

Structure (extended XYZ):
```
9
Lattice="3.354 -8.239 0.000 3.354 8.239 0.000 -0.175 0.000 3.663" Properties=species:S:1:pos:R:3 pbc="T T T"
Ni 0.000 0.000 0.000
H 2.936 3.100 3.377
H 3.598 3.100 0.286
H 2.803 0.000 3.656
H 3.731 0.000 0.006
H 2.936 -3.100 3.377
H 3.598 -3.100 0.286
I 3.267 6.553 1.831
I 3.267 -6.553 1.831
```

Values from the calculation:
The calculation puts the total energy at -3.263 eV per atom. As for the space-group type: C2/m (12).

=====

Computed magnetization, in the same sequence as the records: 0.000; 2.004; 0.000; 0.000 μB/f.u..